Sn3PRh | PBE | relaxed

Computed properties:
V in Å³ per atom: 26.07
Distance to the lowest polymorph of the same formula in kcal/mol of atoms: 0.00
Theoretical density in Mg/m³: 6.2
E_form in eV per atom: 0.179

a b c (Å): 5.0706 5.0706 5.0706
angles (deg): 90.00 90.00 90.00
Closest atoms and distances in Å follow each position.
Fractional coordinates of all 5 atoms:
Sn 0.5000 0.0000 0.0000  2 Rh 2.54
Sn 0.0000 0.0000 0.5000  2 Rh 2.54
Sn 0.0000 0.5000 0.0000  2 Rh 2.54
P 0.5000 0.5000 0.5000  12 Sn 3.59
Rh 0.0000 0.0000 0.0000  6 Sn 2.54

SnPRh3 | PBE | relaxed

Computed properties:
V in Å³ per atom: 22.51
Distance to the lowest polymorph of the same formula in kcal/mol of atoms: 34.67
Theoretical density in Mg/m³: 6.8
E_form in eV per atom: 1.385

a b c (Å): 4.8279 4.8279 4.8279
angles (deg): 90.00 90.00 90.00
Closest atoms and distances in Å follow each position.
Fractional coordinates of all 5 atoms:
Rh 0.0000 0.0000 0.5000  2 Sn 2.41
Rh 0.0000 0.5000 0.0000  2 Sn 2.41
Rh 0.5000 0.0000 0.0000  2 Sn 2.41
Sn 0.0000 0.0000 0.0000  6 Rh 2.41
P 0.5000 0.5000 0.5000  12 Rh 3.41

Number 1: total energy -4.7753 eV/atom. Number 2: total energy -4.9088 eV/atom.